No. 1
{
  "formula": "FeHgPt3",
  "functional": "PBE-GGA",
  "state": "optimized geometry",
  "lattice_angstrom": [[4.6413, 0.0000, 0.0000], [0.0000, 4.6413, 0.0000], [0.0000, 0.0000, 4.6413]],
  "species": ["Fe", "Hg", "Pt", "Pt", "Pt"],
  "frac_coords": [[0.0000, 0.0000, 0.0000], [0.5000, 0.5000, 0.5000], [0.0000, 0.0000, 0.5000], [0.0000, 0.5000, 0.0000], [0.5000, 0.0000, 0.0000]],
  "e_above_lowest_polymorph_mev_per_atom": 0.0,
  "ef_ev_per_atom": 0.785
}



No. 2
{
  "formula": "CaCePdPt",
  "functional": "PBE-GGA",
  "state": "optimized geometry",
  "lattice_angstrom": [[4.3935, 0.0000, 0.0000], [0.0000, 1.9430, 5.4996], [0.0000, -1.9430, 5.4996]],
  "species": ["Ca", "Ce", "Pd", "Pt"],
  "frac_coords": [[0.0000, 0.0000, 0.0000], [0.5000, 0.7250, 0.7250], [0.5000, 0.4429, 0.4429], [0.0000, 0.2716, 0.2716]],
  "e_above_lowest_polymorph_mev_per_atom": 0.0,
  "ef_ev_per_atom": -0.874
}



No. 3
{
  "formula": "Fe2HgIr",
  "functional": "PBE-GGA",
  "state": "optimized geometry",
  "lattice_angstrom": [[1.4675, -2.3225, 0.0000], [1.4675, 2.3225, 0.0000], [0.0000, 0.0000, 8.9557]],
  "species": ["Fe", "Fe", "Hg", "Ir"],
  "frac_coords": [[0.0000, 0.0000, 0.0000], [0.5000, 0.5000, 0.2117], [0.0000, 0.0000, 0.4809], [0.5000, 0.5000, 0.7693]],
  "ef_ev_per_atom": 0.363
}



No. 4
{
  "formula": "Pr4Dy15Al",
  "functional": "PBE-GGA",
  "state": "optimized geometry",
  "lattice_angstrom": [[4.9937, 0.0000, 0.0000], [0.0000, 4.9937, 0.0000], [0.0000, 0.0000, 25.2330]],
  "species": ["Pr", "Pr", "Pr", "Pr", "Dy", "Dy", "Dy", "Dy", "Dy", "Dy", "Dy", "Dy", "Dy", "Dy", "Dy", "Dy", "Dy", "Dy", "Dy", "Al"],
  "frac_coords": [[0.0000, 0.0000, 0.1020], [0.0000, 0.0000, 0.3047], [0.0000, 0.0000, 0.6953], [0.0000, 0.0000, 0.8980], [0.0000, 0.5000, 0.0000], [0.0000, 0.5000, 0.2041], [0.0000, 0.5000, 0.4082], [0.0000, 0.5000, 0.5918], [0.0000, 0.5000, 0.7959], [0.5000, 0.0000, 0.0000], [0.5000, 0.0000, 0.2041], [0.5000, 0.0000, 0.4082], [0.5000, 0.0000, 0.5918], [0.5000, 0.0000, 0.7959], [0.5000, 0.5000, 0.1025], [0.5000, 0.5000, 0.3079], [0.5000, 0.5000, 0.5000], [0.5000, 0.5000, 0.6921], [0.5000, 0.5000, 0.8975], [0.0000, 0.0000, 0.5000]],
  "ef_ev_per_atom": -0.005
}